The following is a DFT calculation (PBE+U) of MnCdO2 after structural relaxation.

The structure in POSCAR format:
```
MnCdO2
1.0
3.296 0.000 0.000
0.000 3.296 0.000
0.000 0.000 4.661
Mn Cd O
1 1 2
direct
0.000 0.000 0.000
0.500 0.500 0.500
0.000 0.000 0.500
0.500 0.500 0.000
```

The total energy comes out at -23.41 eV/cell. The symmetry is P4/mmm (123).



The following is a DFT calculation (PBE+U) of MnCd2OsO6 after structural relaxation.

The structure in POSCAR format:
```
MnCd2OsO6
1.0
5.495 0.000 0.000
0.000 5.577 0.000
-5.458 0.000 7.949
Mn Cd Os O
2 4 2 12
direct
0.000 0.000 0.000
0.000 0.500 0.500
0.256 0.044 0.748
0.256 0.456 0.248
0.744 0.544 0.752
0.744 0.956 0.252
0.500 0.000 0.500
0.500 0.500 0.000
0.161 0.049 0.266
0.161 0.451 0.766
0.261 0.685 0.050
0.261 0.815 0.550
0.386 0.211 0.063
0.386 0.289 0.563
0.614 0.711 0.437
0.614 0.789 0.937
0.739 0.185 0.450
0.739 0.315 0.950
0.839 0.549 0.234
0.839 0.951 0.734
```

The total energy comes out at -123.21 eV/cell. The symmetry is P2_1/c (14).



Number 1 is which compound?
MnCdO2



Which formula does entry 2 have?
MnCd2OsO6



Number 2 is which compound?
MnCd2OsO6